1.
SiPt2Rh: relaxed, PBE.

Unit cell a=2.8048 b=3.0338 c=6.8534 alpha=90.00 beta=90.00 gamma=90.00
Last column: nearest neighbours and their distance in Å.
Atoms (fractional coordinates):
Pt1 0.0000 0.0000 0.9649  4 Si 2.54, 2 Pt 2.80
Pt2 0.0000 0.0000 0.5351  4 Si 2.54, 2 Pt 2.80
Rh1 0.5000 0.5000 0.2500  4 Rh 2.80-3.03, 8 Pt 2.84
Si1 0.5000 0.5000 0.7500  8 Pt 2.54, 2 Si 2.80

Output
* uncorrected formation energy: -268 meV per atom
* ρ: 14.840 g/cm3
* symmetry: Pmmm

2.
NaReO2: relaxed, PBE.

Unit cell a=4.6227 b=4.6227 c=6.4875 alpha=69.13 beta=69.13 gamma=90.00
Last column: nearest neighbours and their distance in Å.
Atoms (fractional coordinates):
Re1 0.0000 0.0000 0.0000  4 O 1.95
Re2 0.7500 0.2500 0.5000  4 O 1.95
O1 0.7226 0.1250 0.2500  2 Re 1.95
O2 0.0274 0.6250 0.2500  2 Re 1.95
O3 0.3750 0.2774 0.7500  2 Re 1.95
O4 0.8750 0.9726 0.7500  2 Re 1.95
Na1 0.5000 0.5000 0.0000  4 O 2.43
Na2 0.2500 0.7500 0.5000  4 O 2.43

Output
* polymorph energy (0 for the lowest one): 148 kJ/mol of formula units
* uncorrected formation energy: -839 meV per atom
* ρ: 6.689 g/cm3
* symmetry: I-42d

3.
Hf2ZrInC: relaxed, PBE.

Unit cell a=4.5089 b=4.5089 c=4.6075 alpha=90.00 beta=90.00 gamma=90.00
Last column: nearest neighbours and their distance in Å.
Atoms (fractional coordinates):
C1 0.0000 0.0000 0.0000  4 Hf 2.25, 2 Zr 2.30
Hf1 0.0000 0.5000 0.0000  2 C 2.25
Hf2 0.5000 0.0000 0.0000  2 C 2.25
Zr1 0.0000 0.0000 0.5000  2 C 2.30
In1 0.5000 0.5000 0.5000  4 Zr 3.19, 8 Hf 3.22

Output
* polymorph energy (0 for the lowest one): 0 kJ/mol of formula units
* ρ: 10.194 g/cm3
* symmetry: P4/mmm
* ΔE_f: -0.49 eV per atom

4.
TiCrCo: relaxed, PBE.

Unit cell a=4.5935 b=4.7917 c=4.7917 alpha=61.23 beta=61.36 gamma=61.36
Last column: nearest neighbours and their distance in Å.
Atoms (fractional coordinates):
Ti1 0.8781 0.3719 0.3719  6 Co 2.73-2.86, 6 Cr 2.79-2.84, 4 Ti 2.89-2.96
Ti2 0.1219 0.6281 0.6281  6 Co 2.73-2.86, 6 Cr 2.79-2.84, 4 Ti 2.89-2.96
Cr1 0.0000 0.0000 0.0000  2 Cr 2.30, 4 Co 2.40
Cr2 0.5000 0.0000 0.0000  2 Cr 2.30, 4 Co 2.40
Co1 0.5000 0.5000 0.0000  4 Cr 2.40, 2 Co 2.44
Co2 0.5000 0.0000 0.5000  4 Cr 2.40, 2 Co 2.44

Output
* ρ: 6.868 g/cm3
* symmetry: Imma
* ΔE_f: -0.21 eV per atom

5.
Os2RhBr: relaxed, PBE.

Unit cell a=5.9276 b=5.9276 c=5.9276 alpha=152.82 beta=135.52 gamma=52.91
Last column: nearest neighbours and their distance in Å.
Atoms (fractional coordinates):
Rh1 0.5319 0.5319 0.0000  6 Os 2.72-2.88, 2 Rh 2.79
Os1 0.9699 0.9699 0.0000  4 Os 2.55-2.79, 4 Rh 2.72
Os2 0.7691 0.2691 0.5000  4 Os 2.55-2.79, 4 Br 2.67
Br1 0.2291 0.7291 0.5000  4 Os 2.67, 2 Br 2.79

Output
* polymorph energy (0 for the lowest one): 164 kJ/mol of formula units
* uncorrected formation energy: 1033 meV per atom
* ρ: 14.101 g/cm3
* symmetry: Imm2

6.
MnGaIrAu: relaxed, PBE.

Unit cell a=4.4249 b=4.4249 c=4.4249 alpha=60.00 beta=60.00 gamma=60.00
Last column: nearest neighbours and their distance in Å.
Atoms (fractional coordinates):
Mn1 0.7500 0.7500 0.7500  4 Ir 2.71, 4 Au 2.71
Ir1 0.0000 0.0000 0.0000  4 Mn 2.71, 4 Ga 2.71
Au1 0.5000 0.5000 0.5000  4 Mn 2.71, 4 Ga 2.71
Ga1 0.2500 0.2500 0.2500  4 Au 2.71, 4 Ir 2.71

Output
* ρ: 13.928 g/cm3
* symmetry: F-43m
* ΔE_f: -0.11 eV per atom

7.
Ca3W: relaxed, PBE.

Unit cell a=5.6252 b=5.6252 c=5.6252 alpha=90.00 beta=90.00 gamma=90.00
Last column: nearest neighbours and their distance in Å.
Atoms (fractional coordinates):
Ca1 0.5000 0.0000 0.0000  2 W 2.81
Ca2 0.0000 0.5000 0.0000  2 W 2.81
Ca3 0.0000 0.0000 0.5000  2 W 2.81
W1 0.0000 0.0000 0.0000  6 Ca 2.81

Output
* polymorph energy (0 for the lowest one): 362 kJ/mol of formula units
* ρ: 2.837 g/cm3
* symmetry: Pm-3m
* ΔE_f: 1.33 eV per atom

8.
CeBe2CuH8: relaxed, PBE.

Unit cell a=4.2770 b=4.2770 c=6.5710 alpha=71.01 beta=71.01 gamma=60.00
Last column: nearest neighbours and their distance in Å.
Atoms (fractional coordinates):
Ce1 0.5000 0.5000 0.5000  12 H 2.40-2.48
Be1 0.2598 0.2598 0.2207  4 H 1.44-1.50
Be2 0.7402 0.7402 0.7793  4 H 1.44-1.50
Cu1 0.0000 0.0000 0.0000  6 H 1.82
H1 0.1776 0.1776 0.4671  1 Be 1.50
H2 0.6016 0.2784 0.1819  1 Be 1.44
H3 0.8224 0.8224 0.5329  1 Be 1.50
H4 0.9381 0.6016 0.1819  1 Be 1.44
H5 0.0619 0.3984 0.8181  1 Be 1.44
H6 0.2784 0.9381 0.1819  1 Be 1.44
H7 0.7216 0.0619 0.8181  1 Be 1.44
H8 0.3984 0.7216 0.8181  1 Be 1.44

Output
* ρ: 3.955 g/cm3
* symmetry: R-3

Number 1: total energy -25.9 eV per formula unit. Number 2: total energy -27.0 eV per formula unit. Number 3: total energy -42.9 eV per formula unit. Number 4: total energy -25.2 eV per formula unit. Number 5: total energy -27.4 eV per formula unit. Number 6: total energy -24.8 eV per formula unit. Number 7: total energy -13.6 eV per formula unit. Number 8: total energy -45.8 eV per formula unit.